1.
First-principles (GGA-PBE) data for an optimized crystal structure of KBaMn, as listed in Alexandria.

```
data_KBaMn
_chemical_formula_sum 'K2 Ba2 Mn2'
_symmetry_space_group_name_H-M 'I 4 m m'
_symmetry_Int_Tables_number 107
_symmetry_space_group_name_Hall 'I 4 -2'
_cell_length_a 4.147
_cell_length_b 4.147
_cell_length_c 16.021
_cell_angle_alpha 90.00
_cell_angle_beta 90.00
_cell_angle_gamma 90.00
loop_
_atom_site_label
_atom_site_type_symbol
_atom_site_fract_x
_atom_site_fract_y
_atom_site_fract_z
K1 K 0.000 0.000 0.000
Ba1 Ba 0.000 0.000 0.265
Mn1 Mn 0.000 0.000 0.647
```

Calculated values
**VASP energy**: -3.4273 eV per atom



2.
First-principles (GGA-PBE) data for an optimized crystal structure of BaCdCu, as listed in Alexandria.

```
data_BaCdCu
_chemical_formula_sum 'Ba4 Cd4 Cu4'
_symmetry_space_group_name_H-M 'F -4 3 m'
_symmetry_Int_Tables_number 216
_symmetry_space_group_name_Hall 'F -4 2 3'
_cell_length_a 7.726
_cell_length_b 7.726
_cell_length_c 7.726
_cell_angle_alpha 90.00
_cell_angle_beta 90.00
_cell_angle_gamma 90.00
loop_
_atom_site_label
_atom_site_type_symbol
_atom_site_fract_x
_atom_site_fract_y
_atom_site_fract_z
Ba1 Ba 0.000 0.000 0.000
Cd1 Cd 0.250 0.250 0.750
Cu1 Cu 0.250 0.250 0.250
```

Calculated values
**VASP energy**: -1.9723 eV per atom



3.
First-principles (GGA-PBE) data for an optimized crystal structure of Tb3Nd2Dy6, as listed in Alexandria.

```
data_Tb3Nd2Dy6
_chemical_formula_sum 'Tb6 Nd4 Dy12'
_symmetry_space_group_name_H-M 'C 1 2/m 1'
_symmetry_Int_Tables_number 12
_symmetry_space_group_name_Hall '-C 2y'
_cell_length_a 6.125
_cell_length_b 10.625
_cell_length_c 11.724
_cell_angle_alpha 90.00
_cell_angle_beta 100.17
_cell_angle_gamma 90.00
loop_
_atom_site_label
_atom_site_type_symbol
_atom_site_fract_x
_atom_site_fract_y
_atom_site_fract_z
Tb1 Tb 0.000 0.000 0.000
Tb2 Tb 0.000 0.335 0.000
Nd1 Nd 0.000 0.167 0.500
Dy1 Dy 0.249 0.167 0.248
Dy2 Dy 0.249 0.500 0.248
```

Calculated values
**VASP energy**: -4.4581 eV per atom



4.
First-principles (GGA-PBE) data for an optimized crystal structure of Ba2YNiS, as listed in Alexandria.

```
data_Ba2YNiS
_chemical_formula_sum 'Ba2 Y1 Ni1 S1'
_symmetry_space_group_name_H-M 'P 4/m m m'
_symmetry_Int_Tables_number 123
_symmetry_space_group_name_Hall '-P 4 2'
_cell_length_a 6.049
_cell_length_b 6.049
_cell_length_c 5.148
_cell_angle_alpha 90.00
_cell_angle_beta 90.00
_cell_angle_gamma 90.00
loop_
_atom_site_label
_atom_site_type_symbol
_atom_site_fract_x
_atom_site_fract_y
_atom_site_fract_z
Ba1 Ba 0.000 0.500 0.000
Y1 Y 0.000 0.000 0.500
Ni1 Ni 0.500 0.500 0.500
S1 S 0.000 0.000 0.000
```

Calculated values
**Formation energy from raw total energies**: -0.25 eV per atom